# Ti6Ga10Ni PBE-GGA relaxed
data_Ti6Ga10Ni
_chemical_formula_sum 'Ti6 Ga10 Ni1'
_space_group_name_H-M_alt 'P -3 1 m'
_space_group_IT_number 162
_space_group_name_Hall '-P 3 2'
_cell_length_a 7.7144
_cell_length_b 7.7144
_cell_length_c 5.3160
_cell_angle_alpha 90.00
_cell_angle_beta 90.00
_cell_angle_gamma 120.00
loop_
_atom_site_label
_atom_site_fract_x
_atom_site_fract_y
_atom_site_fract_z
_atom_site_occupancy
Ti1 0.0000 0.3965 0.2669 1
Ga1 0.0000 0.2420 0.7934 1
Ga2 0.3333 0.6667 0.0000 1
Ga3 0.3333 0.6667 0.5000 1
Ni1 0.0000 0.0000 0.5000 1
# raw total energy	-88.16	eV for the cell shown
# calculated formation energy	-0.279	eV/atom